<w>
A plane-wave DFT calculation with PBE-GGA was carried out for a geometry-optimized NpHg2Au structure.

Geometry as POSCAR:
```
NpHg2Au
1.0
0.0000 3.5870 3.5870
3.5870 0.0000 3.5870
3.5870 3.5870 0.0000
Np Hg Au
1 2 1
direct
0.0000 0.0000 0.0000 Np
0.2500 0.2500 0.2500 Hg
0.7500 0.7500 0.7500 Hg
0.5000 0.5000 0.5000 Au
```

crystal system = cubic



<x>
A plane-wave DFT calculation with PBE-GGA was carried out for a geometry-optimized NpHg2Au structure.

Geometry as POSCAR:
```
NpHg2Au
1.0
4.3696 0.0000 0.0000
0.0000 4.3696 0.0000
0.0000 0.0000 5.0834
Np Hg Au
1 2 1
direct
0.0000 0.0000 0.0000 Np
0.0000 0.5000 0.5000 Hg
0.5000 0.0000 0.5000 Hg
0.5000 0.5000 0.0000 Au
```

crystal system = tetragonal



Most stable: <x>. Least stable: <w>.



<w>
A plane-wave DFT calculation with PBE-GGA was carried out for a geometry-optimized NpHgAu structure.

Geometry as POSCAR:
```
NpHgAu
1.0
5.0291 0.0000 0.0000
-2.5145 4.3553 0.0000
0.0000 0.0000 2.9985
Np Hg Au
1 1 1
direct
0.0000 0.0000 0.0000 Np
0.3333 0.6667 0.5000 Hg
0.6667 0.3333 0.5000 Au
```

crystal system = hexagonal



<x>
A plane-wave DFT calculation with PBE-GGA was carried out for a geometry-optimized NpHgAu structure.

Geometry as POSCAR:
```
NpHgAu
1.0
-1.5899 1.5899 6.6215
1.5899 -1.5899 6.6215
1.5899 1.5899 -6.6215
Np Hg Au
1 1 1
direct
0.0000 0.0000 0.0000 Np
0.3176 0.3176 0.0000 Hg
0.6620 0.6620 0.0000 Au
```

crystal system = tetragonal



<y>
A plane-wave DFT calculation with PBE-GGA was carried out for a geometry-optimized NpHgAu structure.

Geometry as POSCAR:
```
NpHgAu
1.0
5.1859 -2.5596 0.0000
5.1859 2.5596 0.0000
-3.6409 0.0000 5.1924
Np Hg Au
2 2 2
direct
0.1596 0.1596 0.2409 Np
0.8404 0.8404 0.7591 Np
0.4733 0.4733 0.2216 Hg
0.5267 0.5267 0.7784 Hg
0.1556 0.1556 0.7299 Au
0.8444 0.8444 0.2701 Au
```

crystal system = monoclinic



Most stable: <w>. Least stable: <y>.



<w>
A plane-wave DFT calculation with PBE-GGA was carried out for a geometry-optimized HgP2AuO structure.

Geometry as POSCAR:
```
HgP2AuO
1.0
4.9694 0.0000 0.0000
0.0000 4.9694 0.0000
0.0000 0.0000 3.9678
Hg P Au O
1 2 1 1
direct
0.0000 0.0000 0.0000 Hg
0.0000 0.5000 0.5000 P
0.5000 0.0000 0.5000 P
0.5000 0.5000 0.5000 Au
0.5000 0.5000 0.0000 O
```

crystal system = tetragonal



<x>
A plane-wave DFT calculation with PBE-GGA was carried out for a geometry-optimized HgP2AuO structure.

Geometry as POSCAR:
```
HgP2AuO
1.0
5.0750 0.0000 0.0000
0.0000 5.0750 0.0000
0.0000 0.0000 3.9916
Hg P Au O
1 2 1 1
direct
0.0000 0.0000 0.0000 Hg
0.0000 0.5000 0.0000 P
0.5000 0.0000 0.0000 P
0.5000 0.5000 0.5000 Au
0.0000 0.0000 0.5000 O
```

crystal system = tetragonal



Most stable: <w>. Least stable: <x>.



<w>
A plane-wave DFT calculation with PBE-GGA was carried out for a geometry-optimized Hg2OsAu structure.

Geometry as POSCAR:
```
Hg2OsAu
1.0
1.4667 -2.5510 0.0000
1.4667 2.5510 0.0000
0.0000 0.0000 10.0104
Hg Os Au
2 1 1
direct
0.0000 0.0000 0.2423 Hg
0.0000 0.0000 0.7577 Hg
0.5000 0.5000 0.0000 Os
0.5000 0.5000 0.5000 Au
```

crystal system = orthorhombic



<x>
A plane-wave DFT calculation with PBE-GGA was carried out for a geometry-optimized Hg2OsAu structure.

Geometry as POSCAR:
```
Hg2OsAu
1.0
4.0799 0.0000 0.0000
0.0000 4.2398 0.0000
0.0000 0.0000 4.2516
Hg Os Au
2 1 1
direct
0.0000 0.0000 0.0000 Hg
0.0000 0.5000 0.5000 Hg
0.5000 0.0000 0.5000 Os
0.5000 0.5000 0.0000 Au
```

crystal system = orthorhombic



Most stable: <w>. Least stable: <x>.



<w>
A plane-wave DFT calculation with PBE-GGA was carried out for a geometry-optimized HgOsAu structure.

Geometry as POSCAR:
```
HgOsAu
1.0
-1.4390 1.4390 6.4173
1.4390 -1.4390 6.4173
1.4390 1.4390 -6.4173
Hg Os Au
1 1 1
direct
0.0000 0.0000 0.0000 Hg
0.3348 0.3348 0.0000 Os
0.6810 0.6810 0.0000 Au
```

crystal system = tetragonal



<x>
A plane-wave DFT calculation with PBE-GGA was carried out for a geometry-optimized HgOsAu structure.

Geometry as POSCAR:
```
HgOsAu
1.0
0.0000 3.1760 3.1760
3.1760 0.0000 3.1760
3.1760 3.1760 0.0000
Hg Os Au
1 1 1
direct
0.0000 0.0000 0.0000 Hg
0.2500 0.2500 0.2500 Os
0.5000 0.5000 0.5000 Au
```

crystal system = cubic



<y>
A plane-wave DFT calculation with PBE-GGA was carried out for a geometry-optimized HgOsAu structure.

Geometry as POSCAR:
```
HgOsAu
1.0
2.9043 0.0000 0.0000
-1.4522 2.5152 0.0000
0.0000 0.0000 7.1864
Hg Os Au
1 1 1
direct
0.0000 0.0000 0.0000 Hg
0.3333 0.6667 0.3317 Os
0.6667 0.3333 0.6488 Au
```

crystal system = trigonal



Most stable: <y>. Least stable: <x>.



<w>
A plane-wave DFT calculation with PBE-GGA was carried out for a geometry-optimized HgPAu2 structure.

Geometry as POSCAR:
```
HgPAu2
1.0
-2.5891 2.5891 7.3448
2.5891 -2.5891 7.3448
2.5891 2.5891 -7.3448
Hg P Au
2 2 4
direct
0.0000 0.0000 0.0000 Hg
0.7500 0.2500 0.5000 Hg
0.2500 0.7500 0.5000 P
0.5000 0.5000 0.0000 P
0.2268 0.6250 0.1018 Au
0.3750 0.4768 0.6018 Au
0.5232 0.1250 0.8982 Au
0.8750 0.7732 0.3982 Au
```

crystal system = tetragonal



<x>
A plane-wave DFT calculation with PBE-GGA was carried out for a geometry-optimized HgPAu2 structure.

Geometry as POSCAR:
```
HgPAu2
1.0
4.2391 0.0000 0.0000
0.0000 4.2391 0.0000
0.0000 0.0000 4.1432
Hg P Au
1 1 2
direct
0.0000 0.0000 0.0000 Hg
0.5000 0.5000 0.0000 P
0.0000 0.5000 0.5000 Au
0.5000 0.0000 0.5000 Au
```

crystal system = tetragonal



<y>
A plane-wave DFT calculation with PBE-GGA was carried out for a geometry-optimized HgPAu2 structure.

Geometry as POSCAR:
```
HgPAu2
1.0
1.4592 -2.6200 0.0000
1.4592 2.6200 0.0000
0.0000 0.0000 10.2009
Hg P Au
1 1 2
direct
0.0000 0.0000 0.0000 Hg
0.5000 0.5000 0.2833 P
0.0000 0.0000 0.4906 Au
0.5000 0.5000 0.7342 Au
```

crystal system = orthorhombic



<z>
A plane-wave DFT calculation with PBE-GGA was carried out for a geometry-optimized HgPAu2 structure.

Geometry as POSCAR:
```
HgPAu2
1.0
2.8898 -4.8251 0.0000
2.8898 4.8251 0.0000
0.0000 0.0000 2.8360
Hg P Au
1 1 2
direct
0.0000 0.0000 0.0000 Hg
0.5000 0.5000 0.0000 P
0.0000 0.5000 0.0000 Au
0.5000 0.0000 0.0000 Au
```

crystal system = orthorhombic



Most stable: <w>. Least stable: <x>.



<w>
A plane-wave DFT calculation with PBE-GGA was carried out for a geometry-optimized HgPAu2 structure.

Geometry as POSCAR:
```
HgPAu2
1.0
-2.0632 2.0632 4.3855
2.0632 -2.0632 4.3855
2.0632 2.0632 -4.3855
Hg P Au
1 1 2
direct
0.0000 0.0000 0.0000 Hg
0.5000 0.5000 0.0000 P
0.2500 0.7500 0.5000 Au
0.7500 0.2500 0.5000 Au
```

crystal system = tetragonal



<x>
A plane-wave DFT calculation with PBE-GGA was carried out for a geometry-optimized HgPAu2 structure.

Geometry as POSCAR:
```
HgPAu2
1.0
-1.4593 2.9990 4.6034
1.4593 -2.9990 4.6034
1.4593 2.9990 -4.6034
Hg P Au
1 1 2
direct
0.0000 0.0000 0.0000 Hg
0.5000 0.5000 0.0000 P
0.2716 0.7716 0.5000 Au
0.7284 0.2284 0.5000 Au
```

crystal system = orthorhombic



<y>
A plane-wave DFT calculation with PBE-GGA was carried out for a geometry-optimized HgPAu2 structure.

Geometry as POSCAR:
```
HgPAu2
1.0
2.8410 0.0000 0.0000
0.0000 3.5428 0.0000
-0.0318 0.0000 7.8044
Hg P Au
1 1 2
direct
0.0000 0.0000 0.0000 Hg
0.5000 0.0000 0.5000 P
0.4955 0.5000 0.2671 Au
0.5045 0.5000 0.7329 Au
```

crystal system = monoclinic



Most stable: <y>. Least stable: <w>.



<w>
A plane-wave DFT calculation with PBE-GGA was carried out for a geometry-optimized HgPAu2 structure.

Geometry as POSCAR:
```
HgPAu2
1.0
0.0000 3.3586 3.3586
3.3586 0.0000 3.3586
3.3586 3.3586 0.0000
Hg P Au
1 1 2
direct
0.0000 0.0000 0.0000 Hg
0.5000 0.5000 0.5000 P
0.2500 0.2500 0.2500 Au
0.7500 0.7500 0.7500 Au
```

crystal system = cubic



<x>
A plane-wave DFT calculation with PBE-GGA was carried out for a geometry-optimized HgPAu2 structure.

Geometry as POSCAR:
```
HgPAu2
1.0
3.0255 0.0000 0.0000
0.0000 3.0255 0.0000
0.0000 0.0000 8.3939
Hg P Au
1 1 2
direct
0.0000 0.0000 0.0000 Hg
0.5000 0.5000 0.2890 P
0.0000 0.0000 0.4820 Au
0.5000 0.5000 0.7318 Au
```

crystal system = tetragonal



<y>
A plane-wave DFT calculation with PBE-GGA was carried out for a geometry-optimized HgPAu2 structure.

Geometry as POSCAR:
```
HgPAu2
1.0
0.0000 3.3621 3.3621
3.3621 0.0000 3.3621
3.3621 3.3621 0.0000
Hg P Au
1 1 2
direct
0.0000 0.0000 0.0000 Hg
0.2500 0.2500 0.2500 P
0.5000 0.5000 0.5000 Au
0.7500 0.7500 0.7500 Au
```

crystal system = cubic



<z>
A plane-wave DFT calculation with PBE-GGA was carried out for a geometry-optimized HgPAu2 structure.

Geometry as POSCAR:
```
HgPAu2
1.0
3.5509 0.0000 0.0000
0.0000 3.5509 0.0000
0.0000 0.0000 7.1562
Hg P Au
1 1 2
direct
0.0000 0.0000 0.0000 Hg
0.5000 0.5000 0.4556 P
0.0000 0.0000 0.4062 Au
0.5000 0.5000 0.7856 Au
```

crystal system = tetragonal



Most stable: <z>. Least stable: <y>.



<w>
A plane-wave DFT calculation with PBE-GGA was carried out for a geometry-optimized HgPAu2 structure.

Geometry as POSCAR:
```
HgPAu2
1.0
3.1706 -1.9001 0.0000
3.1706 1.9001 0.0000
-2.3195 0.0000 6.7828
Hg P Au
1 1 2
direct
0.0000 0.0000 0.0000 Hg
0.5000 0.5000 0.5000 P
0.2360 0.2360 0.7085 Au
0.7640 0.7640 0.2915 Au
```

crystal system = monoclinic



<x>
A plane-wave DFT calculation with PBE-GGA was carried out for a geometry-optimized HgPAu2 structure.

Geometry as POSCAR:
```
HgPAu2
1.0
5.0576 -1.7693 0.0000
5.0576 1.7693 0.0000
-0.1575 0.0000 5.1801
Hg P Au
1 1 2
direct
0.0000 0.0000 0.0000 Hg
0.7846 0.7846 0.6557 P
0.1329 0.1329 0.4962 Au
0.4222 0.4222 0.4437 Au
```

crystal system = monoclinic



Most stable: <w>. Least stable: <x>.



<w>
A plane-wave DFT calculation with PBE-GGA was carried out for a geometry-optimized HgPAu2 structure.

Geometry as POSCAR:
```
HgPAu2
1.0
-1.4588 2.0823 6.8510
1.4588 -2.0823 6.8510
1.4588 2.0823 -6.8510
Hg P Au
1 1 2
direct
0.0000 0.0000 0.0000 Hg
0.2259 0.7259 0.5000 P
0.3824 0.3824 0.0000 Au
0.6808 0.1808 0.5000 Au
```

crystal system = orthorhombic



<x>
A plane-wave DFT calculation with PBE-GGA was carried out for a geometry-optimized HgPAu2 structure.

Geometry as POSCAR:
```
HgPAu2
1.0
-2.0450 2.0450 4.4544
2.0450 -2.0450 4.4544
2.0450 2.0450 -4.4544
Hg P Au
1 1 2
direct
0.0000 0.0000 0.0000 Hg
0.2500 0.7500 0.5000 P
0.5000 0.5000 0.0000 Au
0.7500 0.2500 0.5000 Au
```

crystal system = tetragonal



Most stable: <w>. Least stable: <x>.



<w>
A plane-wave DFT calculation with PBE-GGA was carried out for a geometry-optimized HgP2Au2 structure.

Geometry as POSCAR:
```
HgP2Au2
1.0
-2.3225 2.3225 4.6155
2.3225 -2.3225 4.6155
2.3225 2.3225 -4.6155
Hg P Au
1 2 2
direct
0.0000 0.0000 0.0000 Hg
0.3812 0.3812 0.0000 P
0.6188 0.6188 0.0000 P
0.2500 0.7500 0.5000 Au
0.7500 0.2500 0.5000 Au
```

crystal system = tetragonal



<x>
A plane-wave DFT calculation with PBE-GGA was carried out for a geometry-optimized HgP2Au2 structure.

Geometry as POSCAR:
```
HgP2Au2
1.0
-1.6682 1.6682 8.3973
1.6682 -1.6682 8.3973
1.6682 1.6682 -8.3973
Hg P Au
1 2 2
direct
0.0000 0.0000 0.0000 Hg
0.2500 0.7500 0.5000 P
0.7500 0.2500 0.5000 P
0.3931 0.3931 0.0000 Au
0.6069 0.6069 0.0000 Au
```

crystal system = tetragonal



Most stable: <w>. Least stable: <x>.